Pm4CoRh | PBE-GGA | optimized geometry

Structure (CIF):
```
data_Pm4CoRh
_chemical_formula_sum 'Pm8 Co2 Rh2'
_space_group_name_H-M_alt 'P 1'
_space_group_IT_number 1
_cell_length_a 8.471
_cell_length_b 8.471
_cell_length_c 6.675
_cell_angle_alpha 111.06
_cell_angle_beta 111.06
_cell_angle_gamma 114.78
loop_
_space_group_symop_operation_xyz
'x,y,z'
loop_
_atom_site_label
_atom_site_fract_x
_atom_site_fract_y
_atom_site_fract_z
Pm1 0.027 0.622 0.812
Pm2 0.225 0.316 0.854
Pm3 0.316 0.225 0.354
Pm4 0.378 0.973 0.688
Pm5 0.622 0.027 0.312
Pm6 0.684 0.775 0.646
Pm7 0.775 0.684 0.146
Pm8 0.973 0.378 0.188
Co1 0.327 0.673 0.250
Co2 0.673 0.327 0.750
Rh1 0.373 0.627 0.750
Rh2 0.627 0.373 0.250
```

Computed properties:
Calculated total energy ... -35.0 eV per formula unit
Calculated formation energy ... -1.6 eV/f.u.
Density of states at the Fermi level ... 10.875 states/eV per cell
Calculated volume ... 162.0 Å³/f.u.